The following is a DFT calculation (PBE) of crystalline YAsP2Pt at its relaxed geometry.

POSCAR file:
```
YAsP2Pt
1.0
4.5891 0.0000 0.0000
0.0000 4.5891 0.0000
0.0000 0.0000 5.4002
Y As P Pt
1 1 2 1
direct
0.0000 0.0000 0.0000
0.0000 0.0000 0.5000
0.0000 0.5000 0.5000
0.5000 0.0000 0.5000
0.5000 0.5000 0.0000
```

- Fermi-level density of states (states/eV per atom) = 0.56
- space group = P4/mmm, No. 123
- E_form (eV/atom) = 0.505